# 1
The following is a PBE calculation of a geometry-optimized Pm4Dy3Se8 structure, from the Alexandria database.

Its total magnetic moment is 0.00 μB/cell. The energy relative to the elements, uncorrected comes out at -1.8489 eV/atom. The total DFT energy (no corrections) is -5.89 eV per atom.

Unit cell a=8.2523 b=8.2523 c=8.2469 alpha=119.94 beta=119.94 gamma=90.03
Closest atoms and distances in Å follow each position.
Fractional positions:
Pm 0.0000 0.0000 0.0000  6 Se 2.96
Pm 0.0000 0.5000 0.0000  6 Se 2.92
Pm 0.5000 0.0000 0.0000  6 Se 2.92
Pm 0.5000 0.5000 0.5000  6 Se 2.99
Dy 0.0000 0.5000 0.5000  6 Se 2.92
Dy 0.5000 0.0000 0.5000  6 Se 2.92
Dy 0.5000 0.5000 0.0000  6 Se 2.88
Se 0.2442 0.7558 0.5000  2 Dy 2.92, 3 Pm 2.92-2.99
Se 0.2475 0.2475 0.5069  3 Dy 2.88-2.92, 2 Pm 2.96-2.99
Se 0.2480 0.2480 0.9889  1 Dy 2.88, 4 Pm 2.92-2.99
Se 0.2535 0.7465 0.0000  3 Dy 2.88-2.92, 3 Pm 2.92-2.96
Se 0.7465 0.2535 0.0000  3 Dy 2.88-2.92, 3 Pm 2.92-2.96
Se 0.7520 0.7520 0.0111  1 Dy 2.88, 4 Pm 2.92-2.99
Se 0.7525 0.7525 0.4931  3 Dy 2.88-2.92, 2 Pm 2.96-2.99
Se 0.7558 0.2442 0.5000  2 Dy 2.92, 3 Pm 2.92-2.99



# 2
The following is a PBE calculation of a geometry-optimized TbCdPt structure, from the Alexandria database.

Its total magnetic moment is 0.00 μB/cell. The total DFT energy (no corrections) is -4.70 eV per atom.

Unit cell a=5.0787 b=5.0787 c=5.8329 alpha=90.00 beta=90.00 gamma=120.00
Closest atoms and distances in Å follow each position.
Fractional positions:
Tb 0.3333 0.6667 0.2500  5 Pt 2.92-2.93
Tb 0.6667 0.3333 0.7500  5 Pt 2.92-2.93
Cd 0.0000 0.0000 0.0000  2 Cd 2.92
Cd 0.0000 0.0000 0.5000  2 Cd 2.92
Pt 0.3333 0.6667 0.7500  5 Tb 2.92-2.93
Pt 0.6667 0.3333 0.2500  5 Tb 2.92-2.93



# 3
The following is a PBE calculation of a geometry-optimized BaNa6 structure, from the Alexandria database.

Its total magnetic moment is 0.00 μB/cell. The total DFT energy (no corrections) is -1.39 eV per atom.

Unit cell a=11.5526 b=7.0102 c=14.2405 alpha=90.00 beta=90.00 gamma=90.00
Closest atoms and distances in Å follow each position.
Fractional positions:
Ba 0.2466 0.2500 0.0645  12 Na 4.01-4.46
Ba 0.2534 0.7500 0.5645  12 Na 4.01-4.46
Ba 0.7466 0.2500 0.4355  12 Na 4.01-4.46
Ba 0.7534 0.7500 0.9355  12 Na 4.01-4.46
Na 0.0551 0.7500 0.0858  5 Na 3.42-3.80
Na 0.0662 0.0082 0.3082  8 Na 3.39-3.75
Na 0.0662 0.4918 0.3082  8 Na 3.39-3.75
Na 0.0952 0.2500 0.5191  6 Na 3.46-3.83
Na 0.1409 0.7500 0.8563  3 Na 3.42-3.75
Na 0.1902 0.2500 0.7548  9 Na 3.43-3.83
Na 0.3098 0.7500 0.2548  9 Na 3.43-3.83
Na 0.3591 0.2500 0.3563  3 Na 3.42-3.75
Na 0.4048 0.7500 0.0191  6 Na 3.46-3.83
Na 0.4338 0.5082 0.8082  8 Na 3.39-3.75
Na 0.4338 0.9918 0.8082  8 Na 3.39-3.75
Na 0.4449 0.2500 0.5858  5 Na 3.42-3.80
Na 0.5551 0.7500 0.4142  5 Na 3.42-3.80
Na 0.5662 0.0082 0.1918  8 Na 3.39-3.75
Na 0.5662 0.4918 0.1918  8 Na 3.39-3.75
Na 0.5952 0.2500 0.9809  6 Na 3.46-3.83
Na 0.6409 0.7500 0.6437  3 Na 3.42-3.75
Na 0.6902 0.2500 0.7452  9 Na 3.43-3.83
Na 0.8098 0.7500 0.2452  9 Na 3.43-3.83
Na 0.8591 0.2500 0.1437  3 Na 3.42-3.75
Na 0.9048 0.7500 0.4809  6 Na 3.46-3.83
Na 0.9338 0.5082 0.6918  8 Na 3.39-3.75
Na 0.9338 0.9918 0.6918  8 Na 3.39-3.75
Na 0.9449 0.2500 0.9142  5 Na 3.42-3.80



# 4
The following is a PBE calculation of a geometry-optimized SmAlCdPd structure, from the Alexandria database.

Its total magnetic moment is 0.00 μB/cell. The total DFT energy (no corrections) is -4.14 eV per atom.

Unit cell a=4.8855 b=4.8855 c=4.8855 alpha=60.00 beta=60.00 gamma=60.00
Closest atoms and distances in Å follow each position.
Fractional positions:
Sm 0.0000 0.0000 0.0000  4 Cd 2.99, 4 Pd 2.99
Al 0.5000 0.5000 0.5000  4 Cd 2.99, 4 Pd 2.99
Cd 0.2500 0.2500 0.2500  4 Al 2.99, 4 Sm 2.99
Pd 0.7500 0.7500 0.7500  4 Al 2.99, 4 Sm 2.99



# 5
The following is a PBE calculation of a geometry-optimized V2IrPb structure, from the Alexandria database.

Its total magnetic moment is 0.00 μB/cell. The total DFT energy (no corrections) is -7.22 eV per atom.

Unit cell a=5.8307 b=5.8307 c=5.8307 alpha=103.53 beta=103.53 gamma=122.16
Closest atoms and distances in Å follow each position.
Fractional positions:
V 0.0780 0.6250 0.9530  2 Ir 2.43
V 0.3750 0.3280 0.4530  2 Ir 2.43
V 0.6720 0.1250 0.0470  2 Ir 2.43
V 0.8750 0.9220 0.5470  2 Ir 2.43
Ir 0.0000 0.0000 0.0000  4 V 2.43
Ir 0.7500 0.2500 0.5000  4 V 2.43
Pb 0.2500 0.7500 0.5000  2 Ir 2.82, 8 V 2.89-3.14
Pb 0.5000 0.5000 0.0000  2 Ir 2.82, 8 V 2.89-3.14



# 6
The following is a PBE calculation of a geometry-optimized ZrBe2Pt structure, from the Alexandria database.

Its total magnetic moment is 0.00 μB/cell. The total DFT energy (no corrections) is -6.05 eV per atom.

Unit cell a=4.2085 b=4.2085 c=4.2085 alpha=60.00 beta=60.00 gamma=60.00
Closest atoms and distances in Å follow each position.
Fractional positions:
Zr 0.0000 0.0000 0.0000  8 Be 2.58
Be 0.2500 0.2500 0.2500  4 Zr 2.58, 4 Pt 2.58
Be 0.7500 0.7500 0.7500  4 Zr 2.58, 4 Pt 2.58
Pt 0.5000 0.5000 0.5000  8 Be 2.58



# 7
The following is a PBE calculation of a geometry-optimized MgNiPdRh structure, from the Alexandria database.

Its total magnetic moment is 1.49 μB/cell. The total DFT energy (no corrections) is -5.20 eV per atom.

Unit cell a=4.3219 b=4.3219 c=4.3219 alpha=60.00 beta=60.00 gamma=60.00
Closest atoms and distances in Å follow each position.
Fractional positions:
Mg 0.0000 0.0000 0.0000  4 Pd 2.65, 4 Rh 2.65
Ni 0.5000 0.5000 0.5000  4 Pd 2.65, 4 Rh 2.65
Pd 0.7500 0.7500 0.7500  4 Ni 2.65, 4 Mg 2.65
Rh 0.2500 0.2500 0.2500  4 Mg 2.65, 4 Ni 2.65



# 8
The following is a PBE calculation of a geometry-optimized Hg3Te2 structure, from the Alexandria database.

Its total magnetic moment is 0.00 μB/cell. The energy relative to the elements, uncorrected comes out at -0.0554 eV/atom. The total DFT energy (no corrections) is -1.49 eV per atom.

Unit cell a=10.8772 b=10.8772 c=12.8192 alpha=115.90 beta=115.90 gamma=24.90
Closest atoms and distances in Å follow each position.
Fractional positions:
Hg 0.0000 0.0000 0.0000  6 Te 3.73-4.06
Hg 0.0415 0.0415 0.6841  3 Te 2.85-2.87
Hg 0.3155 0.3155 0.3410  3 Te 2.79-2.82
Hg 0.3283 0.3283 0.0470  4 Te 2.81-2.96
Hg 0.3348 0.3348 0.6733  3 Te 3.67-4.07, 3 Hg 3.90-4.09
Hg 0.6652 0.6652 0.3267  3 Te 3.67-4.07, 3 Hg 3.90-4.09
Hg 0.6717 0.6717 0.9530  4 Te 2.81-2.96
Hg 0.6845 0.6845 0.6590  3 Te 2.79-2.82
Hg 0.9585 0.9585 0.3159  3 Te 2.85-2.87
Te 0.1145 0.1145 0.5418  3 Hg 2.82-2.87
Te 0.2113 0.2113 0.1104  4 Hg 2.79-2.96
Te 0.4726 0.4726 0.2020  3 Hg 2.81-2.85
Te 0.5274 0.5274 0.7980  3 Hg 2.81-2.85
Te 0.7887 0.7887 0.8896  4 Hg 2.79-2.96
Te 0.8855 0.8855 0.4582  3 Hg 2.82-2.87



# 9
The following is a PBE calculation of a geometry-optimized PAuI3 structure, from the Alexandria database.

Its total magnetic moment is 2.22 μB/cell. The energy relative to the elements, uncorrected comes out at 0.7308 eV/atom. The total DFT energy (no corrections) is -1.94 eV per atom.

Unit cell a=5.6615 b=5.6615 c=5.6615 alpha=90.00 beta=90.00 gamma=90.00
Closest atoms and distances in Å follow each position.
Fractional positions:
P 0.0000 0.0000 0.0000  12 I 4.00
Au 0.5000 0.5000 0.5000  6 I 2.83
I 0.0000 0.5000 0.5000  2 Au 2.83
I 0.5000 0.0000 0.5000  2 Au 2.83
I 0.5000 0.5000 0.0000  2 Au 2.83



# 10
The following is a PBE calculation of a geometry-optimized Pm3Tm structure, from the Alexandria database.

Its total magnetic moment is 0.00 μB/cell. The total DFT energy (no corrections) is -4.66 eV per atom.

Unit cell a=6.2469 b=6.2469 c=6.2469 alpha=131.73 beta=131.73 gamma=70.66
Closest atoms and distances in Å follow each position.
Fractional positions:
Pm 0.0000 0.0000 0.0000  8 Pm 3.61, 4 Tm 3.61
Pm 0.2500 0.7500 0.5000  4 Tm 3.61, 8 Pm 3.61
Pm 0.7500 0.2500 0.5000  4 Tm 3.61, 8 Pm 3.61
Tm 0.5000 0.5000 0.0000  12 Pm 3.61



# 11
The following is a PBE calculation of a geometry-optimized NaTaAg3 structure, from the Alexandria database.

Its total magnetic moment is 0.00 μB/cell. The total DFT energy (no corrections) is -3.26 eV per atom.

Unit cell a=5.2469 b=5.2469 c=5.2469 alpha=90.00 beta=90.00 gamma=90.00
Closest atoms and distances in Å follow each position.
Fractional positions:
Na 0.0000 0.0000 0.0000  12 Ag 3.71
Ta 0.5000 0.5000 0.5000  6 Ag 2.62
Ag 0.0000 0.5000 0.5000  2 Ta 2.62
Ag 0.5000 0.0000 0.5000  2 Ta 2.62
Ag 0.5000 0.5000 0.0000  2 Ta 2.62



# 12
The following is a PBE calculation of a geometry-optimized NdDy5Tm3 structure, from the Alexandria database.

Its total magnetic moment is 0.00 μB/cell. The total DFT energy (no corrections) is -4.39 eV per atom.

Unit cell a=8.7357 b=8.7357 c=11.3110 alpha=106.64 beta=106.64 gamma=44.82
Closest atoms and distances in Å follow each position.
Fractional positions:
Nd 0.2276 0.7724 0.7500  1 Dy 3.03, 2 Tm 3.21
Nd 0.7724 0.2276 0.2500  1 Dy 3.03, 2 Tm 3.21
Dy 0.0575 0.2944 0.8744  2 Dy 3.06-3.42, 2 Tm 3.32-3.33
Dy 0.2944 0.0575 0.3744  2 Dy 3.06-3.42, 2 Tm 3.32-3.33
Dy 0.3179 0.6821 0.2500  1 Nd 3.03, 2 Dy 3.06
Dy 0.3851 0.3982 0.4543  5 Dy 3.33-3.60, 4 Tm 3.45-3.68, 1 Nd 3.71
Dy 0.3982 0.3851 0.9543  5 Dy 3.33-3.60, 4 Tm 3.45-3.68, 1 Nd 3.71
Dy 0.6018 0.6149 0.0457  5 Dy 3.33-3.60, 4 Tm 3.45-3.68, 1 Nd 3.71
Dy 0.6149 0.6018 0.5457  5 Dy 3.33-3.60, 4 Tm 3.45-3.68, 1 Nd 3.71
Dy 0.6821 0.3179 0.7500  1 Nd 3.03, 2 Dy 3.06
Dy 0.7056 0.9425 0.6256  2 Dy 3.06-3.42, 2 Tm 3.32-3.33
Dy 0.9425 0.7056 0.1256  2 Dy 3.06-3.42, 2 Tm 3.32-3.33
Tm 0.0000 0.0000 0.0000  2 Nd 3.21, 2 Dy 3.53
Tm 0.0000 0.0000 0.5000  2 Nd 3.21, 2 Dy 3.53
Tm 0.1422 0.3823 0.6437  7 Dy 3.32-3.59, 1 Tm 3.60
Tm 0.3823 0.1422 0.1437  7 Dy 3.32-3.59, 1 Tm 3.60
Tm 0.6177 0.8578 0.8563  7 Dy 3.32-3.59, 1 Tm 3.60
Tm 0.8578 0.6177 0.3563  7 Dy 3.32-3.59, 1 Tm 3.60